The following is a PBE calculation of an optimized crystal structure of Ca3Pm2PuTe6, from Alexandria via LeMat-Bulk.

Results
Its density of states at the Fermi level is 17.608 states/eV/f.u. As for the total energy: -5.506 eV/atom. The uncorrected formation energy comes out at -1678 kJ/mol of formula units.

Cell and atoms, written as POSCAR:
```
Ca3Pm2PuTe6
1.0
4.454 0.000 0.000
0.000 9.024 0.255
-2.227 -2.673 9.443
Te Pm Ca Pu
6 2 3 1
direct
0.334 0.414 0.667
0.000 0.250 0.999
0.000 0.750 0.001
0.333 0.917 0.665
0.667 0.083 0.335
0.666 0.586 0.333
0.833 0.666 0.667
0.167 0.334 0.333
0.833 0.166 0.667
0.167 0.834 0.333
0.500 0.500 0.000
0.500 0.000 0.000
```